(1)
Material: YTaMnAl2
Method: DFT, GGA-PBE
State: optimized geometry

Cell lengths 4.6083, 4.6157, 4.6083 Å; angles 90.00, 90.00, 90.00 degrees
Last column: nearest neighbours and their distance in Å.
Sites, in units of the cell vectors:
1 Al 0.5000 0.0000 0.0000  2 Mn 2.30
2 Y 0.5000 0.5000 0.5000  4 Ta 3.26, 8 Al 3.26
3 Al 0.0000 0.0000 0.5000  2 Mn 2.30
4 Ta 0.0000 0.5000 0.0000  2 Mn 2.31
5 Mn 0.0000 0.0000 0.0000  4 Al 2.30, 2 Ta 2.31

## Properties
formation enthalpy at 0 K	0.44	eV/f.u.
crystal system	tetragonal
N(E_F)	3.6	states/eV per cell


(2)
Material: Re6Tc2Os
Method: DFT, GGA-PBE
State: optimized geometry

Cell lengths 14.3365, 5.5141, 4.7758 Å; angles 125.26, 99.62, 106.66 degrees
Last column: nearest neighbours and their distance in Å.
Sites, in units of the cell vectors:
1 Re 0.8321 0.7476 0.4979  6 Re 2.74-2.77, 4 Tc 2.75-2.76, 2 Os 2.75
2 Re 0.4992 0.2486 0.4989  10 Re 2.75-2.77, 1 Os 2.75, 1 Tc 2.78
3 Tc 0.1674 0.7511 0.5008  8 Re 2.74-2.78, 2 Tc 2.75, 2 Os 2.75-2.76
4 Os 0.2777 0.9163 0.1668  8 Re 2.75-2.76, 4 Tc 2.75-2.76
5 Os 0.7223 0.0837 0.8332  8 Re 2.75-2.76, 4 Tc 2.75-2.76
6 Re 0.1679 0.2524 0.5021  6 Re 2.74-2.77, 4 Tc 2.75-2.76, 2 Os 2.75
7 Re 0.0563 0.5843 0.8349  1 Os 2.75, 3 Tc 2.75-2.78, 8 Re 2.76-2.77
8 Re 0.6123 0.9186 0.1689  3 Tc 2.74-2.76, 2 Os 2.75-2.76, 7 Re 2.76-2.78
9 Tc 0.7227 0.5839 0.8342  8 Re 2.75-2.78, 2 Tc 2.75, 2 Os 2.75-2.76
10 Re 0.5008 0.7514 0.5011  10 Re 2.75-2.77, 1 Os 2.75, 1 Tc 2.78
11 Re 0.9437 0.4157 0.1651  1 Os 2.75, 3 Tc 2.75-2.78, 8 Re 2.76-2.77
12 Re 0.9449 0.9176 0.1674  9 Re 2.75-2.77, 3 Tc 2.76-2.77
13 Re 0.3883 0.5827 0.8328  8 Re 2.74-2.78, 2 Os 2.75-2.76, 2 Tc 2.76
14 Re 0.6117 0.4173 0.1672  8 Re 2.74-2.78, 2 Os 2.75-2.76, 2 Tc 2.76
15 Re 0.0551 0.0824 0.8326  9 Re 2.75-2.77, 3 Tc 2.76-2.77
16 Re 0.3877 0.0814 0.8311  3 Tc 2.74-2.76, 2 Os 2.75-2.76, 7 Re 2.76-2.78
17 Tc 0.2773 0.4161 0.1658  8 Re 2.75-2.78, 2 Tc 2.75, 2 Os 2.75-2.76
18 Tc 0.8326 0.2489 0.4992  8 Re 2.74-2.78, 2 Tc 2.75, 2 Os 2.75-2.76

## Properties
formation enthalpy at 0 K	0.47	eV/f.u.
crystal system	triclinic
N(E_F)	15.5	states/eV per cell


(3)
Material: Cs2ZnHgSb2
Method: DFT, GGA-PBE
State: optimized geometry

Cell lengths 7.1371, 7.1028, 10.1141 Å; angles 110.56, 110.66, 90.00 degrees
Last column: nearest neighbours and their distance in Å.
Sites, in units of the cell vectors:
1 Cs 0.9274 0.6661 0.3321  4 Sb 3.75-3.91, 2 Hg 3.81, 2 Zn 3.89
2 Sb 0.6403 0.4132 0.8263  2 Zn 2.85, 2 Hg 3.04
3 Hg 0.0000 0.7500 0.0000  4 Sb 3.04
4 Cs 0.5953 0.8339 0.6679  4 Sb 3.75-3.91, 2 Hg 3.81, 2 Zn 3.89
5 Sb 0.3597 0.5868 0.1737  2 Zn 2.85, 2 Hg 3.04
6 Sb 0.8140 0.0868 0.1737  2 Zn 2.85, 2 Hg 3.04
7 Zn 0.5000 0.7500 0.0000  4 Sb 2.85
8 Cs 0.0726 0.3339 0.6679  4 Sb 3.75-3.91, 2 Hg 3.81, 2 Zn 3.89
9 Sb 0.1860 0.9132 0.8263  2 Zn 2.85, 2 Hg 3.04
10 Zn 0.5000 0.2500 0.0000  4 Sb 2.85
11 Cs 0.4047 0.1661 0.3321  4 Sb 3.75-3.91, 2 Hg 3.81, 2 Zn 3.89
12 Hg 0.0000 0.2500 0.0000  4 Sb 3.04

## Properties
crystal system	orthorhombic
ΔE_f (raw)	-1.91	eV/f.u.
N(E_F)	4.8	states/eV per cell


(4)
Material: K3TcH8
Method: DFT, GGA-PBE
State: optimized geometry

Cell lengths 6.2484, 5.9435, 6.2484 Å; angles 58.29, 90.00, 121.71 degrees
Last column: nearest neighbours and their distance in Å.
Sites, in units of the cell vectors:
1 H 0.7163 0.6504 0.2837  1 Tc 1.69
2 H 0.1391 0.8960 0.2432  1 Tc 1.74, 1 H 1.94
3 H 0.2432 0.1040 0.7568  1 Tc 1.74, 1 H 1.94
4 H 0.9341 0.6504 0.0659  1 Tc 1.69
5 H 0.2837 0.3496 0.9341  1 Tc 1.69
6 Tc 0.0000 0.0000 0.0000  8 H 1.69-1.74
7 K 0.5000 0.0000 0.5000  8 H 2.76
8 H 0.0659 0.3496 0.7163  1 Tc 1.69
9 H 0.8609 0.1040 0.1391  1 Tc 1.74, 1 H 1.94
10 K 0.7500 0.5000 0.7500  8 H 2.61-2.76
11 K 0.2500 0.5000 0.2500  8 H 2.61-2.76
12 H 0.7568 0.8960 0.8609  1 Tc 1.74, 1 H 1.94

## Properties
crystal system	tetragonal
N(E_F)	0.0	states/eV per cell


(5)
Material: Ce2CdAg2
Method: DFT, GGA-PBE
State: optimized geometry

Cell lengths 4.0722, 7.9763, 7.9763 Å; angles 90.00, 90.00, 90.00 degrees
Last column: nearest neighbours and their distance in Å.
Sites, in units of the cell vectors:
1 Ce 0.5000 0.6740 0.8260  6 Ag 3.04-3.17
2 Cd 0.0000 0.0000 0.0000  4 Ag 3.15
3 Ag 0.0000 0.1264 0.3736  1 Ag 2.85, 6 Ce 3.04-3.17, 2 Cd 3.15
4 Ce 0.5000 0.8260 0.3260  6 Ag 3.04-3.17
5 Ag 0.0000 0.8736 0.6264  1 Ag 2.85, 6 Ce 3.04-3.17, 2 Cd 3.15
6 Cd 0.0000 0.5000 0.5000  4 Ag 3.15
7 Ag 0.0000 0.6264 0.1264  1 Ag 2.85, 6 Ce 3.04-3.17, 2 Cd 3.15
8 Ag 0.0000 0.3736 0.8736  1 Ag 2.85, 6 Ce 3.04-3.17, 2 Cd 3.15
9 Ce 0.5000 0.1740 0.6740  6 Ag 3.04-3.17
10 Ce 0.5000 0.3260 0.1740  6 Ag 3.04-3.17

## Properties
formation enthalpy at 0 K	-0.64	eV/f.u.
crystal system	tetragonal
N(E_F)	30.6	states/eV per cell


(6)
Material: SrAsRu2
Method: DFT, GGA-PBE
State: optimized geometry

Cell lengths 5.4947, 5.4947, 2.9758 Å; angles 74.53, 74.53, 113.47 degrees
Last column: nearest neighbours and their distance in Å.
Sites, in units of the cell vectors:
1 Sr 0.5000 0.0000 0.5000  4 Ru 2.75, 2 Sr 2.98, 4 As 3.01-3.04
2 Ru 0.0000 0.0000 0.0000  2 As 2.75, 2 Sr 2.75, 6 Ru 2.98-3.04
3 Ru 0.5000 0.5000 0.0000  2 Sr 2.75, 2 As 2.75, 6 Ru 2.98-3.04
4 As 0.0000 0.5000 0.5000  4 Ru 2.75, 2 As 2.98, 4 Sr 3.01-3.04

## Properties
formation enthalpy at 0 K	2.11	eV/f.u.
crystal system	monoclinic
N(E_F)	5.4	states/eV per cell


(7)
Material: Ho4CoIr
Method: DFT, GGA-PBE
State: optimized geometry

Cell lengths 7.5572, 7.5572, 7.5572 Å; angles 106.75, 106.75, 115.06 degrees
Last column: nearest neighbours and their distance in Å.
Sites, in units of the cell vectors:
1 Ho 0.2036 0.0070 0.1965  1 Co 2.67, 2 Ir 2.74-2.75
2 Ho 0.7570 0.0605 0.3035  1 Co 2.67, 2 Ir 2.74-2.75
3 Ho 0.2430 0.9464 0.7034  2 Co 2.68, 1 Ir 2.76
4 Ho 0.7570 0.4536 0.6965  1 Co 2.67, 2 Ir 2.74-2.75
5 Ir 0.4972 0.9972 0.5000  6 Ho 2.74-2.76
6 Co 0.2527 0.2527 0.0000  6 Ho 2.67-2.68
7 Ho 0.2896 0.4930 0.7966  2 Co 2.68, 1 Ir 2.76
8 Ho 0.8105 0.0070 0.8035  1 Co 2.67, 2 Ir 2.74-2.75
9 Ho 0.6964 0.4930 0.2034  2 Co 2.68, 1 Ir 2.76
10 Co 0.0027 0.5027 0.5000  6 Ho 2.67-2.68
11 Ho 0.2430 0.5396 0.2966  2 Co 2.68, 1 Ir 2.76
12 Ir 0.7472 0.7472 0.0000  6 Ho 2.74-2.76

## Properties
formation enthalpy at 0 K	-2.20	eV/f.u.
crystal system	tetragonal
N(E_F)	6.9	states/eV per cell


(8)
Material: Th3Al4Ag2
Method: DFT, GGA-PBE
State: optimized geometry

Cell lengths 4.6118, 5.9726, 8.8497 Å; angles 108.34, 90.00, 112.71 degrees
Last column: nearest neighbours and their distance in Å.
Sites, in units of the cell vectors:
1 Al 0.0760 0.1519 0.4049  2 Ag 2.66, 1 Al 2.75
2 Ag 0.6461 0.2922 0.3103  3 Al 2.64-2.66
3 Ag 0.3539 0.7078 0.6897  3 Al 2.64-2.66
4 Al 0.7239 0.4479 0.0594  1 Ag 2.64, 2 Al 2.68
5 Al 0.9240 0.8481 0.5951  2 Ag 2.66, 1 Al 2.75
6 Th 0.0000 0.0000 0.0000  8 Al 3.26-3.39, 4 Ag 3.53
7 Al 0.2761 0.5521 0.9406  1 Ag 2.64, 2 Al 2.68
8 Th 0.3522 0.7044 0.3194  8 Al 3.17-3.38, 4 Ag 3.22-3.27
9 Th 0.6478 0.2956 0.6806  8 Al 3.17-3.38, 4 Ag 3.22-3.27

## Properties
formation enthalpy at 0 K	-2.97	eV/f.u.
crystal system	monoclinic
N(E_F)	7.3	states/eV per cell


(9)
Material: LaSmHo5Tm2
Method: DFT, GGA-PBE
State: optimized geometry

Cell lengths 9.0002, 9.0002, 9.6801 Å; angles 117.70, 117.70, 90.00 degrees
Last column: nearest neighbours and their distance in Å.
Sites, in units of the cell vectors:
1 Tm 0.8883 0.6117 0.0000  1 Tm 2.84, 2 Ho 3.02
2 Ho 0.1706 0.0741 0.7447  1 Tm 3.02, 1 Sm 3.13
3 Ho 0.5741 0.6706 0.7447  1 Tm 3.02, 1 Sm 3.13
4 Tm 0.3883 0.8883 0.0000  1 Tm 2.84, 2 Ho 3.02
5 La 0.7500 0.7500 0.5000  10 Ho 3.65-3.70
6 Tm 0.6117 0.1117 0.0000  1 Tm 2.84, 2 Ho 3.02
7 Ho 0.4259 0.3294 0.2553  1 Tm 3.02, 1 Sm 3.13
8 Sm 0.2500 0.7500 0.5000  4 Ho 3.13
9 Ho 0.0000 0.0000 0.0000  4 Tm 3.64, 2 La 3.65, 8 Ho 3.74
10 Sm 0.7500 0.2500 0.5000  4 Ho 3.13
11 Ho 0.5000 0.5000 0.0000  4 Tm 3.64, 2 La 3.65, 8 Ho 3.74
12 Tm 0.1117 0.3883 0.0000  1 Tm 2.84, 2 Ho 3.02
13 Ho 0.3294 0.8294 0.2553  1 Tm 3.02, 1 Sm 3.13
14 Ho 0.9259 0.4259 0.2553  1 Tm 3.02, 1 Sm 3.13
15 La 0.2500 0.2500 0.5000  10 Ho 3.65-3.70
16 Ho 0.6706 0.1706 0.7447  1 Tm 3.02, 1 Sm 3.13
17 Ho 0.8294 0.9259 0.2553  1 Tm 3.02, 1 Sm 3.13
18 Ho 0.0741 0.5741 0.7447  1 Tm 3.02, 1 Sm 3.13

## Properties
formation enthalpy at 0 K	2.59	eV/f.u.
crystal system	tetragonal
N(E_F)	26.5	states/eV per cell


(10)
Material: Ac4RhSe2Cl
Method: DFT, GGA-PBE
State: optimized geometry

Cell lengths 4.3095, 7.7011, 7.9206 Å; angles 108.73, 90.00, 90.00 degrees
Last column: nearest neighbours and their distance in Å.
Sites, in units of the cell vectors:
1 Cl 0.0000 0.0000 0.0000  6 Ac 3.15-3.20
2 Ac 0.5000 0.2577 0.2479  1 Rh 3.11, 3 Se 3.12-3.24, 2 Cl 3.15
3 Se 0.0000 0.5000 0.5000  6 Ac 3.12-3.17
4 Ac 0.5000 0.7423 0.7521  1 Rh 3.11, 3 Se 3.12-3.24, 2 Cl 3.15
5 Ac 0.0000 0.7261 0.2293  2 Rh 2.99, 3 Se 3.17-3.28, 1 Cl 3.20
6 Ac 0.0000 0.2739 0.7707  2 Rh 2.99, 3 Se 3.17-3.28, 1 Cl 3.20
7 Rh 0.5000 0.5000 0.0000  6 Ac 2.99-3.11
8 Se 0.5000 0.0000 0.5000  6 Ac 3.24-3.28

## Properties
crystal system	monoclinic
ΔE_f (raw)	-11.73	eV/f.u.
N(E_F)	5.5	states/eV per cell


(11)
Material: CaCuHg2F8
Method: DFT, GGA-PBE
State: optimized geometry

Cell lengths 3.9780, 5.5642, 7.8891 Å; angles 96.21, 89.09, 94.21 degrees
Last column: nearest neighbours and their distance in Å.
Sites, in units of the cell vectors:
1 F 0.9681 0.3243 0.7187  2 Hg 2.29-2.30, 1 Ca 2.37
2 F 0.0319 0.6757 0.2813  2 Hg 2.29-2.30, 1 Ca 2.37
3 Ca 0.0000 0.0000 0.5000  8 F 2.29-2.51
4 Hg 0.4887 0.5304 0.7541  5 F 2.29-2.55
5 F 0.9501 0.1547 0.2249  1 Cu 1.90
6 F 0.6132 0.7658 0.0183  1 Cu 1.96
7 F 0.4922 0.2365 0.4778  2 Ca 2.29-2.51, 1 Hg 2.35
8 F 0.3868 0.2342 0.9817  1 Cu 1.96
9 F 0.5078 0.7635 0.5222  2 Ca 2.29-2.51, 1 Hg 2.35
10 F 0.0499 0.8453 0.7751  1 Cu 1.90
11 Hg 0.5113 0.4696 0.2459  5 F 2.29-2.55
12 Cu 0.0000 0.0000 0.0000  4 F 1.90-1.96

## Properties
crystal system	triclinic
ΔE_f (raw)	-24.71	eV/f.u.


(12)
Material: NiPRh2
Method: DFT, GGA-PBE
State: optimized geometry

Cell lengths 4.2928, 4.2928, 4.2928 Å; angles 125.34, 125.34, 80.98 degrees
Last column: nearest neighbours and their distance in Å.
Sites, in units of the cell vectors:
1 P 0.0000 0.0000 0.0000  8 Rh 2.56, 4 Ni 2.79
2 Ni 0.5000 0.5000 0.0000  8 Rh 2.56, 4 P 2.79
3 Rh 0.2500 0.7500 0.5000  4 Ni 2.56, 4 P 2.56, 4 Rh 2.79
4 Rh 0.7500 0.2500 0.5000  4 Ni 2.56, 4 P 2.56, 4 Rh 2.79

## Properties
formation enthalpy at 0 K	-0.85	eV/f.u.
crystal system	tetragonal
N(E_F)	5.2	states/eV per cell


| no. | E_tot (eV per atom) | total magnetic moment (μB per atom) |
| --- | --- | --- |
| 1 | -6.907 | 0.00 |
| 2 | -11.797 | 0.00 |
| 3 | -2.240 | 0.00 |
| 4 | -3.627 | 0.00 |
| 5 | -3.826 | 0.40 |
| 6 | -5.693 | 0.00 |
| 7 | -6.080 | 0.00 |
| 8 | -5.100 | 0.00 |
| 9 | -4.321 | 0.00 |
| 10 | -5.542 | 0.00 |
| 11 | -3.865 | 0.08 |
| 12 | -6.686 | 0.15 |